[1]
Compound: LiTeOsN2
Source: the Alexandria database
Functional: GGA-PBE
Structure: relaxed

Properties
E above lowest polymorph = 9.05 eV/f.u.

Cell: 3.7849 3.7849 4.7182 Å, 90.00 90.00 90.00°
With the nearest neighbours (Å) after each atom.
Space group P4/mmm (No. 123)
One atom of each set of equivalent atoms:
Li 0.0000 0.0000 0.0000 [1 per cell]  4 N 1.89
Te 0.0000 0.0000 0.5000 [1 per cell]  2 Li 2.36
Os 0.5000 0.5000 0.5000 [1 per cell]  4 Te 2.68
N 0.0000 0.5000 0.0000 [2 per cell]  2 Li 1.89

=====

[2]
Compound: LiTe2OsN
Source: the Alexandria database
Functional: GGA-PBE
Structure: relaxed

Properties
E above lowest polymorph = 0.00 eV/f.u.

Cell: 5.5674 5.5674 3.6586 Å, 90.00 90.00 90.00°
With the nearest neighbours (Å) after each atom.
Space group P4/mmm (No. 123)
One atom of each set of equivalent atoms:
Li 0.0000 0.0000 0.0000 [1 per cell]  8 Te 3.33, 2 Li 3.66
Te 0.0000 0.5000 0.5000 [2 per cell]  2 Os 2.78
Os 0.5000 0.5000 0.5000 [1 per cell]  2 N 1.83
N 0.5000 0.5000 0.0000 [1 per cell]  2 Os 1.83

=====

[3]
Compound: LiTe2OsN
Source: the Alexandria database
Functional: GGA-PBE
Structure: relaxed

Properties
E above lowest polymorph = 5.87 eV/f.u.

Cell: 5.0031 5.0031 3.3171 Å, 90.00 90.00 90.00°
With the nearest neighbours (Å) after each atom.
Space group P4/mmm (No. 123)
One atom of each set of equivalent atoms:
Li 0.0000 0.0000 0.0000 [1 per cell]  2 N 1.66
Te 0.0000 0.5000 0.0000 [2 per cell]  2 Li 2.50
Os 0.5000 0.5000 0.5000 [1 per cell]  8 Te 3.00, 2 Os 3.32
N 0.0000 0.0000 0.5000 [1 per cell]  2 Li 1.66

=====

| no. | DOS at the Fermi energy (states/eV/atom) |
| --- | --- |
| 1 | 0.664 |
| 2 | 0.561 |
| 3 | 1.061 |